SrPrAu2: optimized geometry, GGA-PBE.

Values from the calculation:
The raw total energy comes out at -16.04 eV per cell. The value obtained for the formation energy is -0.76 eV/atom. As for the total magnetic moment: 0.0 μB per cell.

CIF file:
```
data_SrPrAu2
_chemical_formula_sum 'Sr1 Pr1 Au2'
_space_group_name_H-M_alt 'P 1'
_space_group_IT_number 1
_cell_length_a 3.8051
_cell_length_b 3.8051
_cell_length_c 7.6085
_cell_angle_alpha 90.00
_cell_angle_beta 90.00
_cell_angle_gamma 90.00
loop_
_space_group_symop_operation_xyz
'x,y,z'
loop_
_atom_site_label
_atom_site_fract_x
_atom_site_fract_y
_atom_site_fract_z
Au1 0.0000 0.0000 0.2216
Pr1 0.5000 0.5000 0.0000
Au2 0.0000 0.0000 0.7784
Sr1 0.5000 0.5000 0.5000
```

=====

Sr2PrAu4: optimized geometry, GGA-PBE.

Values from the calculation:
The raw total energy comes out at -25.55 eV per cell. The value obtained for the formation energy is -0.61 eV/atom. As for the total magnetic moment: 0.0 μB per cell.

CIF file:
```
data_Sr2PrAu4
_chemical_formula_sum 'Sr2 Pr1 Au4'
_space_group_name_H-M_alt 'P 1'
_space_group_IT_number 1
_cell_length_a 5.4810
_cell_length_b 5.4810
_cell_length_c 7.8540
_cell_angle_alpha 110.42
_cell_angle_beta 110.42
_cell_angle_gamma 90.00
loop_
_space_group_symop_operation_xyz
'x,y,z'
loop_
_atom_site_label
_atom_site_fract_x
_atom_site_fract_y
_atom_site_fract_z
Au1 0.3916 0.8916 0.7832
Au2 0.1084 0.6084 0.2168
Au3 0.6084 0.1084 0.2168
Sr1 0.7203 0.7203 0.4406
Sr2 0.2797 0.2797 0.5594
Au4 0.8916 0.3916 0.7832
Pr1 0.0000 0.0000 0.0000
```

=====

SrPrAu: optimized geometry, GGA-PBE.

Values from the calculation:
The raw total energy comes out at -10.69 eV per cell. The value obtained for the formation energy is -0.32 eV/atom. As for the total magnetic moment: 0.0 μB per cell. For the energy above the most stable polymorph in this dataset, the calculation gives 0.152 eV per atom.

CIF file:
```
data_SrPrAu
_chemical_formula_sum 'Sr1 Pr1 Au1'
_space_group_name_H-M_alt 'P 1'
_space_group_IT_number 1
_cell_length_a 4.7381
_cell_length_b 5.0389
_cell_length_c 5.0389
_cell_angle_alpha 120.00
_cell_angle_beta 90.00
_cell_angle_gamma 90.00
loop_
_space_group_symop_operation_xyz
'x,y,z'
loop_
_atom_site_label
_atom_site_fract_x
_atom_site_fract_y
_atom_site_fract_z
Au1 0.2600 0.3333 0.6667
Sr1 0.6232 0.6667 0.3333
Pr1 0.1167 0.0000 0.0000
```

=====

SrPr2Au2: optimized geometry, GGA-PBE.

Values from the calculation:
The raw total energy comes out at -41.53 eV per cell. The value obtained for the formation energy is -0.59 eV/atom. As for the total magnetic moment: 0.0 μB per cell.

CIF file:
```
data_SrPr2Au2
_chemical_formula_sum 'Sr2 Pr4 Au4'
_space_group_name_H-M_alt 'P 1'
_space_group_IT_number 1
_cell_length_a 4.0014
_cell_length_b 8.6243
_cell_length_c 8.6243
_cell_angle_alpha 90.00
_cell_angle_beta 90.00
_cell_angle_gamma 90.00
loop_
_space_group_symop_operation_xyz
'x,y,z'
loop_
_atom_site_label
_atom_site_fract_x
_atom_site_fract_y
_atom_site_fract_z
Pr1 0.0000 0.1562 0.1562
Au1 0.5000 0.3693 0.3693
Au2 0.5000 0.8693 0.1307
Pr2 0.0000 0.8438 0.8438
Sr1 0.5000 0.5000 0.0000
Pr3 0.0000 0.3438 0.6562
Pr4 0.0000 0.6562 0.3438
Au3 0.5000 0.6307 0.6307
Sr2 0.5000 0.0000 0.5000
Au4 0.5000 0.1307 0.8693
```

=====

SrPr2Au: optimized geometry, GGA-PBE.

Values from the calculation:
The raw total energy comes out at -15.23 eV per cell. The value obtained for the formation energy is -0.18 eV/atom. As for the total magnetic moment: 0.0 μB per cell. For the energy above the most stable polymorph in this dataset, the calculation gives 0.094 eV per atom.

CIF file:
```
data_SrPr2Au
_chemical_formula_sum 'Sr1 Pr2 Au1'
_space_group_name_H-M_alt 'P 1'
_space_group_IT_number 1
_cell_length_a 4.6389
_cell_length_b 4.6389
_cell_length_c 9.0297
_cell_angle_alpha 75.12
_cell_angle_beta 75.12
_cell_angle_gamma 60.00
loop_
_space_group_symop_operation_xyz
'x,y,z'
loop_
_atom_site_label
_atom_site_fract_x
_atom_site_fract_y
_atom_site_fract_z
Au1 0.6659 0.6659 0.0023
Sr1 0.5008 0.5008 0.4976
Pr1 0.0526 0.0526 0.8422
Pr2 0.2807 0.2807 0.1578
```

=====

Sr3PrAu4: optimized geometry, GGA-PBE.

Values from the calculation:
The raw total energy comes out at -28.74 eV per cell. The value obtained for the formation energy is -0.73 eV/atom. As for the total magnetic moment: 0.0 μB per cell.

CIF file:
```
data_Sr3PrAu4
_chemical_formula_sum 'Sr3 Pr1 Au4'
_space_group_name_H-M_alt 'P 1'
_space_group_IT_number 1
_cell_length_a 6.5862
_cell_length_b 6.5862
_cell_length_c 6.5862
_cell_angle_alpha 109.47
_cell_angle_beta 109.47
_cell_angle_gamma 109.47
loop_
_space_group_symop_operation_xyz
'x,y,z'
loop_
_atom_site_label
_atom_site_fract_x
_atom_site_fract_y
_atom_site_fract_z
Au1 0.4999 0.0000 0.0000
Au2 0.5001 0.5001 0.5001
Sr1 0.0000 0.5000 0.5000
Sr2 0.5000 0.0000 0.5000
Pr1 0.0000 0.0000 0.0000
Au3 0.0000 0.0000 0.4999
Au4 0.0000 0.4999 0.0000
Sr3 0.5000 0.5000 0.0000
```

=====

SrPr2Au3: optimized geometry, GGA-PBE.

Values from the calculation:
The raw total energy comes out at -25.53 eV per cell. The value obtained for the formation energy is -0.74 eV/atom. As for the total magnetic moment: 0.0 μB per cell.

CIF file:
```
data_SrPr2Au3
_chemical_formula_sum 'Sr1 Pr2 Au3'
_space_group_name_H-M_alt 'P 1'
_space_group_IT_number 1
_cell_length_a 3.7748
_cell_length_b 5.2943
_cell_length_c 8.5023
_cell_angle_alpha 108.14
_cell_angle_beta 90.00
_cell_angle_gamma 90.00
loop_
_space_group_symop_operation_xyz
'x,y,z'
loop_
_atom_site_label
_atom_site_fract_x
_atom_site_fract_y
_atom_site_fract_z
Pr1 0.0000 0.3371 0.6742
Sr1 0.0000 0.0000 0.0000
Au1 0.5000 0.5000 0.0000
Au2 0.5000 0.8191 0.6381
Au3 0.5000 0.1809 0.3619
Pr2 0.0000 0.6629 0.3258
```

=====

SrPr2Au6: optimized geometry, GGA-PBE.

Values from the calculation:
The raw total energy comes out at -37.53 eV per cell. The value obtained for the formation energy is -0.74 eV/atom. As for the total magnetic moment: 0.0 μB per cell.

CIF file:
```
data_SrPr2Au6
_chemical_formula_sum 'Sr1 Pr2 Au6'
_space_group_name_H-M_alt 'P 1'
_space_group_IT_number 1
_cell_length_a 3.7147
_cell_length_b 8.2999
_cell_length_c 8.2999
_cell_angle_alpha 120.00
_cell_angle_beta 90.00
_cell_angle_gamma 90.00
loop_
_space_group_symop_operation_xyz
'x,y,z'
loop_
_atom_site_label
_atom_site_fract_x
_atom_site_fract_y
_atom_site_fract_z
Au1 0.5000 0.6658 0.0000
Pr1 0.0000 0.6667 0.3333
Pr2 0.0000 0.3333 0.6667
Sr1 0.0000 0.0000 0.0000
Au2 0.5000 0.3342 0.0000
Au3 0.5000 0.0000 0.3342
Au4 0.5000 0.3342 0.3342
Au5 0.5000 0.6658 0.6658
Au6 0.5000 0.0000 0.6658
```

=====

Sr2PrAu: optimized geometry, GGA-PBE.

Values from the calculation:
The raw total energy comes out at -12.53 eV per cell. The value obtained for the formation energy is -0.28 eV/atom. As for the total magnetic moment: 0.0 μB per cell. For the energy above the most stable polymorph in this dataset, the calculation gives 0.000 eV per atom.

CIF file:
```
data_Sr2PrAu
_chemical_formula_sum 'Sr2 Pr1 Au1'
_space_group_name_H-M_alt 'P 1'
_space_group_IT_number 1
_cell_length_a 3.8038
_cell_length_b 3.8038
_cell_length_c 9.9869
_cell_angle_alpha 90.00
_cell_angle_beta 90.00
_cell_angle_gamma 90.00
loop_
_space_group_symop_operation_xyz
'x,y,z'
loop_
_atom_site_label
_atom_site_fract_x
_atom_site_fract_y
_atom_site_fract_z
Sr1 0.0000 0.0000 0.8093
Sr2 0.0000 0.0000 0.1907
Au1 0.5000 0.5000 0.0000
Pr1 0.5000 0.5000 0.5000
```

=====

SrPrAu2: optimized geometry, GGA-PBE.

Values from the calculation:
The raw total energy comes out at -15.68 eV per cell. The value obtained for the formation energy is -0.67 eV/atom. As for the total magnetic moment: 0.0 μB per cell.

CIF file:
```
data_SrPrAu2
_chemical_formula_sum 'Sr1 Pr1 Au2'
_space_group_name_H-M_alt 'P 1'
_space_group_IT_number 1
_cell_length_a 4.3198
_cell_length_b 4.3198
_cell_length_c 8.0956
_cell_angle_alpha 74.53
_cell_angle_beta 74.53
_cell_angle_gamma 60.00
loop_
_space_group_symop_operation_xyz
'x,y,z'
loop_
_atom_site_label
_atom_site_fract_x
_atom_site_fract_y
_atom_site_fract_z
Pr1 0.6686 0.6686 0.9941
Sr1 0.4978 0.4978 0.5065
Au1 0.2557 0.2557 0.2330
Au2 0.0778 0.0778 0.7665
```

=====

SrPr5Au6: optimized geometry, GGA-PBE.

Values from the calculation:
The raw total energy comes out at -54.15 eV per cell. The value obtained for the formation energy is -0.74 eV/atom. As for the total magnetic moment: 0.0 μB per cell.

CIF file:
```
data_SrPr5Au6
_chemical_formula_sum 'Sr1 Pr5 Au6'
_space_group_name_H-M_alt 'P 1'
_space_group_IT_number 1
_cell_length_a 5.3211
_cell_length_b 7.4922
_cell_length_c 8.4375
_cell_angle_alpha 90.00
_cell_angle_beta 108.43
_cell_angle_gamma 90.00
loop_
_space_group_symop_operation_xyz
'x,y,z'
loop_
_atom_site_label
_atom_site_fract_x
_atom_site_fract_y
_atom_site_fract_z
Au1 0.8280 0.2531 0.6535
Au2 0.1720 0.7469 0.3465
Pr1 0.6646 0.5000 0.3313
Au3 0.8280 0.7469 0.6535
Pr2 0.6632 0.0000 0.3278
Au4 0.5000 0.2638 0.0000
Sr1 0.0000 0.0000 0.0000
Pr3 0.0000 0.5000 0.0000
Au5 0.5000 0.7362 0.0000
Pr4 0.3368 0.0000 0.6722
Au6 0.1720 0.2531 0.3465
Pr5 0.3354 0.5000 0.6687
```

=====

Sr2PrAu3: optimized geometry, GGA-PBE.

Values from the calculation:
The raw total energy comes out at -44.89 eV per cell. The value obtained for the formation energy is -0.75 eV/atom. As for the total magnetic moment: 0.0 μB per cell.

CIF file:
```
data_Sr2PrAu3
_chemical_formula_sum 'Sr4 Pr2 Au6'
_space_group_name_H-M_alt 'P 1'
_space_group_IT_number 1
_cell_length_a 5.3804
_cell_length_b 8.5404
_cell_length_c 7.6310
_cell_angle_alpha 89.99
_cell_angle_beta 89.98
_cell_angle_gamma 71.64
loop_
_space_group_symop_operation_xyz
'x,y,z'
loop_
_atom_site_label
_atom_site_fract_x
_atom_site_fract_y
_atom_site_fract_z
Sr1 0.0000 0.0000 0.5000
Sr2 0.3332 0.3337 0.5000
Au1 0.1741 0.6515 0.2230
Au2 0.5007 0.0000 0.7602
Pr1 0.3362 0.3275 0.0000
Au3 0.8259 0.3485 0.7770
Pr2 0.6638 0.6725 0.0000
Au4 0.4993 0.0000 0.2398
Au5 0.1744 0.6515 0.7770
Au6 0.8256 0.3485 0.2230
Sr3 0.6668 0.6663 0.5000
Sr4 0.0000 0.0000 0.0000
```

=====

SrPrAu4: optimized geometry, GGA-PBE.

Values from the calculation:
The raw total energy comes out at -23.56 eV per cell. The value obtained for the formation energy is -0.66 eV/atom. As for the total magnetic moment: 0.0 μB per cell. For the energy above the most stable polymorph in this dataset, the calculation gives 0.093 eV per atom.

CIF file:
```
data_SrPrAu4
_chemical_formula_sum 'Sr1 Pr1 Au4'
_space_group_name_H-M_alt 'P 1'
_space_group_IT_number 1
_cell_length_a 3.9199
_cell_length_b 3.9198
_cell_length_c 9.4612
_cell_angle_alpha 91.70
_cell_angle_beta 91.70
_cell_angle_gamma 89.74
loop_
_space_group_symop_operation_xyz
'x,y,z'
loop_
_atom_site_label
_atom_site_fract_x
_atom_site_fract_y
_atom_site_fract_z
Sr1 0.5000 0.5000 0.5000
Au1 0.4890 0.4890 0.8375
Au2 0.0122 0.0122 0.6708
Pr1 0.0000 0.0000 0.0000
Au3 0.9878 0.9878 0.3292
Au4 0.5110 0.5110 0.1625
```